[1]
# ScTeIr2

A relaxed structure of ScTeIr2 (PBE, Alexandria via LeMat-Bulk).

Cell lengths 3.127, 3.127, 7.539 Å; angles 90.00, 90.00, 90.00 degrees
Positions (direct):
Ir  0.000  0.000  0.006
Ir  0.500  0.500  0.251
Te  0.500  0.500  0.781
Sc  0.000  0.000  0.463

Results
- E (eV/atom) = -6.851


[2]
# ScTeIr2

A relaxed structure of ScTeIr2 (PBE, Alexandria via LeMat-Bulk).

Cell lengths 3.137, 3.137, 7.302 Å; angles 90.00, 90.00, 89.98 degrees
Positions (direct):
Ir  0.000  0.000  0.488
Ir  0.000  0.000  0.012
Te  0.500  0.500  0.750
Sc  0.500  0.500  0.250

Results
- E (eV/atom) = -7.036


[3]
# Sc6Te2Ir

A relaxed structure of Sc6Te2Ir (PBE, Alexandria via LeMat-Bulk).

Cell lengths 3.820, 7.775, 7.775 Å; angles 120.00, 90.00, 90.00 degrees
Positions (direct):
Sc  0.500  0.000  0.612
Sc  0.000  0.758  0.758
Sc  0.000  0.000  0.242
Sc  0.500  0.388  0.388
Sc  0.500  0.612  0.000
Sc  0.000  0.242  0.000
Te  0.000  0.333  0.667
Te  0.000  0.667  0.333
Ir  0.500  0.000  0.000

Results
- E (eV/atom) = -6.735


[4]
# ScTlTe2Ir

A relaxed structure of ScTlTe2Ir (PBE, Alexandria via LeMat-Bulk).

Cell lengths 5.580, 5.344, 5.580 Å; angles 90.00, 90.00, 90.00 degrees
Each line ends with the local moment (μB).
Positions (direct):
Ir  0.500  0.500  0.500  1.41
Tl  0.000  0.000  0.000  0.01
Te  0.000  0.000  0.500  0.04
Te  0.500  0.000  0.000  0.06
Sc  0.000  0.500  0.000  -0.06

Results
- E (eV/atom) = -3.316


[5]
# ZrSc2TeIr

A relaxed structure of ZrSc2TeIr (PBE, Alexandria via LeMat-Bulk).

Cell lengths 5.079, 5.233, 5.079 Å; angles 90.00, 90.00, 90.00 degrees
Positions (direct):
Ir  0.500  0.500  0.500
Te  0.000  0.000  0.000
Zr  0.000  0.500  0.000
Sc  0.500  0.000  0.000
Sc  0.000  0.000  0.500

Results
- E (eV/atom) = -5.956


[6]
# ThScIr4

A relaxed structure of ThScIr4 (PBE, Alexandria via LeMat-Bulk).

Cell lengths 5.361, 5.361, 5.361 Å; angles 60.00, 60.00, 60.00 degrees
Positions (direct):
Ir  0.123  0.626  0.626
Ir  0.626  0.626  0.626
Ir  0.626  0.626  0.123
Ir  0.626  0.123  0.626
Sc  0.000  0.000  0.000
Th  0.250  0.250  0.250

Results
- E (eV/atom) = -8.971


[7]
# ThSc2Ir9

A relaxed structure of ThSc2Ir9 (PBE, Alexandria via LeMat-Bulk).

Cell lengths 5.277, 5.277, 9.186 Å; angles 73.31, 73.31, 60.00 degrees
Positions (direct):
Ir  0.334  0.334  0.998
Ir  0.414  0.414  0.254
Ir  0.414  0.918  0.254
Ir  0.500  0.500  0.500
Ir  0.666  0.666  0.002
Ir  0.082  0.586  0.746
Ir  0.586  0.586  0.746
Ir  0.918  0.414  0.254
Ir  0.586  0.082  0.746
Sc  0.141  0.141  0.577
Sc  0.859  0.859  0.423
Th  0.000  0.000  0.000

Results
- E (eV/atom) = -8.914


[8]
# Th2Sc3Ir2

A relaxed structure of Th2Sc3Ir2 (PBE, Alexandria via LeMat-Bulk).

Cell lengths 3.704, 6.009, 8.692 Å; angles 113.78, 90.00, 107.95 degrees
Positions (direct):
Sc  0.622  0.244  0.433
Sc  0.378  0.756  0.567
Sc  0.500  0.000  0.000
Th  0.161  0.322  0.810
Th  0.839  0.678  0.190
Ir  0.833  0.665  0.761
Ir  0.167  0.335  0.239

Results
- E (eV/atom) = -7.992


[9]
# Th2ScIr9

A relaxed structure of Th2ScIr9 (PBE, Alexandria via LeMat-Bulk).

Cell lengths 5.307, 5.307, 9.452 Å; angles 73.70, 73.70, 60.00 degrees
Positions (direct):
Ir  0.919  0.419  0.242
Ir  0.581  0.081  0.758
Ir  0.667  0.667  0.998
Ir  0.419  0.419  0.242
Ir  0.500  0.500  0.500
Ir  0.333  0.333  0.002
Ir  0.581  0.581  0.758
Ir  0.081  0.581  0.758
Ir  0.419  0.919  0.242
Th  0.863  0.863  0.411
Th  0.137  0.137  0.589
Sc  0.000  0.000  0.000

Results
- E (eV/atom) = -8.972


[10]
# Th3Sc7Ir4

A relaxed structure of Th3Sc7Ir4 (PBE, Alexandria via LeMat-Bulk).

Cell lengths 3.917, 9.059, 9.757 Å; angles 73.45, 78.42, 77.51 degrees
Positions (direct):
Th  0.690  0.810  0.810
Th  0.310  0.190  0.190
Th  0.000  0.500  0.500
Ir  0.642  0.441  0.276
Ir  0.358  0.559  0.724
Ir  0.878  0.928  0.315
Ir  0.122  0.072  0.685
Sc  0.317  0.849  0.517
Sc  0.000  0.000  0.000
Sc  0.495  0.225  0.784
Sc  0.834  0.422  0.911
Sc  0.166  0.578  0.089
Sc  0.683  0.151  0.483
Sc  0.505  0.775  0.216

Results
- E (eV/atom) = -7.878


[11]
# ThScZnIr

A relaxed structure of ThScZnIr (PBE, Alexandria via LeMat-Bulk).

Cell lengths 4.924, 4.924, 4.924 Å; angles 60.00, 60.00, 60.00 degrees
Positions (direct):
Ir  0.000  0.000  0.000
Th  0.750  0.750  0.750
Zn  0.500  0.500  0.500
Sc  0.250  0.250  0.250

Results
- E (eV/atom) = -6.492


[12]
# Sc2TiIr

A relaxed structure of Sc2TiIr (PBE, Alexandria via LeMat-Bulk).

Cell lengths 3.202, 3.202, 7.314 Å; angles 90.00, 90.00, 90.00 degrees
Positions (direct):
Ti  0.500  0.500  0.500
Ir  0.500  0.500  0.000
Sc  0.000  0.000  0.222
Sc  0.000  0.000  0.778

Results
- offset from the most stable computed form (eV/atom) = 0.000


[13]
# Sc2TiIr

A relaxed structure of Sc2TiIr (PBE, Alexandria via LeMat-Bulk).

Cell lengths 4.685, 4.685, 4.685 Å; angles 60.00, 60.00, 60.00 degrees
Each line ends with the local moment (μB).
Positions (direct):
Ti  0.000  0.000  0.000  1.42
Sc  0.750  0.750  0.750  0.28
Sc  0.250  0.250  0.250  0.28
Ir  0.500  0.500  0.500  -0.08

Results
- offset from the most stable computed form (eV/atom) = 0.023


[14]
# Sc2TiIr3

A relaxed structure of Sc2TiIr3 (PBE, Alexandria via LeMat-Bulk).

Cell lengths 3.060, 4.611, 7.329 Å; angles 108.34, 90.00, 90.00 degrees
Positions (direct):
Ir  0.500  0.845  0.691
Ir  0.500  0.500  0.000
Ir  0.500  0.155  0.309
Sc  0.000  0.332  0.664
Sc  0.000  0.668  0.336
Ti  0.000  0.000  0.000

Results
- E (eV/atom) = -8.792


[15]
# Sc3TiIr3

A relaxed structure of Sc3TiIr3 (PBE, Alexandria via LeMat-Bulk).

Cell lengths 6.291, 6.671, 6.091 Å; angles 90.00, 90.00, 87.70 degrees
Positions (direct):
Sc  0.716  0.283  0.000
Sc  0.284  0.717  0.000
Sc  0.743  0.742  0.500
Sc  0.750  0.252  0.500
Sc  0.257  0.258  0.500
Sc  0.250  0.748  0.500
Ir  0.000  0.000  0.243
Ir  0.000  0.000  0.757
Ir  0.000  0.500  0.758
Ir  0.500  0.000  0.242
Ir  0.500  0.000  0.758
Ir  0.000  0.500  0.242
Ti  0.773  0.770  0.000
Ti  0.227  0.230  0.000

Results
- E (eV/atom) = -8.412


[16]
# Sc2TiIr2

A relaxed structure of Sc2TiIr2 (PBE, Alexandria via LeMat-Bulk).

Cell lengths 6.638, 6.638, 4.200 Å; angles 90.00, 90.00, 90.00 degrees
Positions (direct):
Ir  0.859  0.641  0.000
Ir  0.641  0.141  0.000
Ir  0.359  0.859  0.000
Ir  0.141  0.359  0.000
Sc  0.826  0.326  0.500
Sc  0.674  0.826  0.500
Sc  0.326  0.174  0.500
Sc  0.174  0.674  0.500
Ti  0.500  0.500  0.000
Ti  0.000  0.000  0.000

Results
- E (eV/atom) = -8.404


[17]
# Sc3TiIr

A relaxed structure of Sc3TiIr (PBE, Alexandria via LeMat-Bulk).

Cell lengths 4.690, 4.690, 4.690 Å; angles 90.00, 90.00, 90.00 degrees
Positions (direct):
Ti  0.000  0.000  0.000
Ir  0.500  0.500  0.500
Sc  0.000  0.500  0.000
Sc  0.000  0.000  0.500
Sc  0.500  0.000  0.000

Results
- offset from the most stable computed form (eV/atom) = 0.756


[18]
# ScTiIr

A relaxed structure of ScTiIr (PBE, Alexandria via LeMat-Bulk).

Cell lengths 3.199, 3.199, 5.553 Å; angles 106.74, 106.74, 90.00 degrees
Each line ends with the local moment (μB).
Positions (direct):
Ir  0.939  0.939  0.879  -0.02
Ti  0.302  0.302  0.604  0.20
Sc  0.608  0.608  0.217  0.12

Results
- offset from the most stable computed form (eV/atom) = 0.161


[19]
# Sc2TiIr

A relaxed structure of Sc2TiIr (PBE, Alexandria via LeMat-Bulk).

Cell lengths 10.056, 10.056, 10.056 Å; angles 17.27, 17.27, 17.27 degrees
Each line ends with the local moment (μB).
Positions (direct):
Ir  0.500  0.500  0.500  0.00
Ti  0.000  0.000  0.000  0.23
Sc  0.096  0.096  0.096  0.00
Sc  0.904  0.904  0.904  0.00

Results
- offset from the most stable computed form (eV/atom) = 0.412


[20]
# Sc2TiIr

A relaxed structure of Sc2TiIr (PBE, Alexandria via LeMat-Bulk).

Cell lengths 7.672, 7.672, 6.103 Å; angles 51.06, 51.06, 90.00 degrees
Each line ends with the local moment (μB).
Positions (direct):
Sc  0.075  0.625  0.250  0.06
Sc  0.675  0.125  0.250  0.06
Sc  0.875  0.925  0.750  0.05
Sc  0.375  0.325  0.750  0.05
Ti  0.250  0.750  0.500  0.71
Ti  0.500  0.500  0.000  0.72
Ir  0.000  0.000  0.000  -0.02
Ir  0.750  0.250  0.500  -0.01

Results
- offset from the most stable computed form (eV/atom) = 0.317


| no. | M_tot (μB per atom) |
| --- | --- |
| 1 | 0.000 |
| 2 | 0.000 |
| 3 | 0.000 |
| 4 | 0.310 |
| 5 | 0.000 |
| 6 | 0.000 |
| 7 | 0.000 |
| 8 | 0.000 |
| 9 | 0.000 |
| 10 | 0.000 |
| 11 | 0.000 |
| 12 | 0.000 |
| 13 | 0.616 |
| 14 | 0.000 |
| 15 | 0.000 |
| 16 | 0.000 |
| 17 | 0.000 |
| 18 | 0.147 |
| 19 | 0.063 |
| 20 | 0.263 |